[1]
The following is a GGA-PBEsol calculation of a geometry-optimized Sr2CuCl2O2 structure, from the Alexandria database.

Calculated values
Magnetization = 0.00 μB per atom
Mass density = 4.73 g/cm3
Energy relative to the elements, uncorrected = -14.84 eV per formula unit
E_tot = -37.37 eV for the cell shown
Calculated volume = 17.13 A^3/atom

```
Sr2CuCl2O2
1.0
-1.964 1.964 7.770
1.964 -1.964 7.770
1.964 1.964 -7.770
Sr Cu Cl O
2 1 2 2
Direct
0.108 0.108 0.000
0.892 0.892 0.000
0.500 0.500 0.000
0.316 0.316 0.000
0.684 0.684 0.000
0.000 0.500 0.500
0.500 0.000 0.500
```



[2]
The following is a GGA-PBEsol calculation of a geometry-optimized CaTaSe2 structure, from the Alexandria database.

Calculated values
Magnetization = 0.05 μB per atom
Distance to the lowest polymorph of the same formula = 0.000 eV per atom
Mass density = 7.72 g/cm3
Energy relative to the elements, uncorrected = -3.74 eV per formula unit
E_tot = -26.12 eV for the cell shown
Calculated volume = 20.37 A^3/atom

```
CaTaSe2
1.0
-1.745 1.767 6.605
1.745 -1.767 6.605
1.745 1.767 -6.605
Ca Ta Se
1 1 2
Direct
0.000 0.000 0.000
0.745 0.245 0.500
0.326 0.826 0.500
0.601 0.601 0.000
```



[3]
The following is a GGA-PBEsol calculation of a geometry-optimized BaHfS3 structure, from the Alexandria database.

Calculated values
Magnetization = 0.00 μB per atom
Mass density = 5.66 g/cm3
Energy relative to the elements, uncorrected = -9.27 eV per formula unit
E_tot = -35.08 eV for the cell shown
Calculated volume = 24.18 A^3/atom

```
BaHfS3
1.0
4.945 0.000 0.000
0.000 4.945 0.000
0.000 0.000 4.945
Ba Hf S
1 1 3
Direct
0.000 0.000 0.000
0.500 0.500 0.500
0.000 0.500 0.500
0.500 0.000 0.500
0.500 0.500 0.000
```



[4]
The following is a GGA-PBEsol calculation of a geometry-optimized MnH2Pd structure, from the Alexandria database.

Calculated values
Magnetization = 0.84 μB per atom
Mass density = 7.89 g/cm3
E_tot = -44.54 eV for the cell shown
Calculated volume = 8.60 A^3/atom

```
MnH2Pd
1.0
-2.031 2.031 4.170
2.031 -2.031 4.170
2.031 2.031 -4.170
Mn H Pd
2 4 2
Direct
0.000 0.000 0.000
0.750 0.250 0.500
0.109 0.625 0.984
0.375 0.359 0.484
0.641 0.125 0.016
0.875 0.891 0.516
0.250 0.750 0.500
0.500 0.500 0.000
```



[5]
The following is a GGA-PBEsol calculation of a geometry-optimized Li3Mn4O8 structure, from the Alexandria database.

Calculated values
Magnetization = 0.79 μB per atom
Distance to the lowest polymorph of the same formula = 0.002 eV per atom
Mass density = 4.46 g/cm3
Energy relative to the elements, uncorrected = -26.84 eV per formula unit
E_tot = -113.78 eV for the cell shown
Calculated volume = 9.15 A^3/atom

```
Li3Mn4O8
1.0
2.811 1.623 5.015
-2.811 1.623 5.015
0.000 -3.246 5.015
Li Mn O
3 4 8
Direct
0.000 0.000 0.000
0.144 0.144 0.144
0.856 0.856 0.856
0.000 0.500 0.500
0.500 0.000 0.500
0.500 0.500 0.000
0.500 0.500 0.500
0.249 0.249 0.723
0.249 0.723 0.249
0.267 0.267 0.267
0.277 0.751 0.751
0.723 0.249 0.249
0.733 0.733 0.733
0.751 0.277 0.751
0.751 0.751 0.277
```



[6]
The following is a GGA-PBEsol calculation of a geometry-optimized Li3CdGe structure, from the Alexandria database.

Calculated values
Magnetization = 0.00 μB per atom
Distance to the lowest polymorph of the same formula = 0.000 eV per atom
Mass density = 3.18 g/cm3
ΔH_f (0 K) = 0.053 eV/atom
E_tot = -11.77 eV for the cell shown
Calculated volume = 21.49 A^3/atom

```
Li3CdGe
1.0
4.754 0.000 0.000
0.000 4.754 0.000
0.000 0.000 4.754
Li Cd Ge
3 1 1
Direct
0.000 0.000 0.500
0.000 0.500 0.000
0.500 0.000 0.000
0.500 0.500 0.500
0.000 0.000 0.000
```



[7]
The following is a GGA-PBEsol calculation of a geometry-optimized La3InNiS7 structure, from the Alexandria database.

Calculated values
Magnetization = 0.17 μB per atom
Mass density = 5.04 g/cm3
Energy relative to the elements, uncorrected = -18.47 eV per formula unit
E_tot = -148.68 eV for the cell shown
Calculated volume = 22.39 A^3/atom

```
La3InNiS7
1.0
9.921 0.000 0.000
-4.960 8.592 0.000
0.000 0.000 6.303
La In Ni S
6 2 2 14
Direct
0.159 0.787 0.000
0.213 0.373 0.000
0.373 0.159 0.500
0.627 0.841 0.000
0.787 0.627 0.500
0.841 0.213 0.500
0.333 0.667 0.573
0.667 0.333 0.073
0.000 0.000 0.169
0.000 0.000 0.669
0.074 0.517 0.735
0.095 0.877 0.412
0.123 0.218 0.412
0.218 0.095 0.912
0.333 0.667 0.193
0.443 0.926 0.735
0.483 0.557 0.735
0.517 0.443 0.235
0.557 0.074 0.235
0.667 0.333 0.693
0.782 0.905 0.412
0.877 0.782 0.912
0.905 0.123 0.912
0.926 0.483 0.235
```



[8]
The following is a GGA-PBEsol calculation of a geometry-optimized Ca2Hg structure, from the Alexandria database.

Calculated values
Magnetization = 0.00 μB per atom
Mass density = 4.87 g/cm3
ΔH_f (0 K) = -0.399 eV/atom
E_tot = -12.06 eV for the cell shown
Calculated volume = 31.91 A^3/atom

```
Ca2Hg
1.0
1.980 -6.736 0.000
1.980 6.736 0.000
0.000 0.000 7.177
Ca Hg
4 2
Direct
0.023 0.977 0.500
0.288 0.712 0.313
0.712 0.288 0.813
0.977 0.023 0.000
0.384 0.616 0.716
0.616 0.384 0.216
```



[9]
The following is a GGA-PBEsol calculation of a geometry-optimized InFeSb structure, from the Alexandria database.

Calculated values
Magnetization = 0.43 μB per atom
Distance to the lowest polymorph of the same formula = 0.000 eV per atom
Mass density = 8.32 g/cm3
Energy relative to the elements, uncorrected = 0.46 eV per formula unit
E_tot = -16.04 eV for the cell shown
Calculated volume = 19.46 A^3/atom

```
InFeSb
1.0
0.000 3.079 3.079
3.079 0.000 3.079
3.079 3.079 0.000
In Fe Sb
1 1 1
Direct
0.000 0.000 0.000
0.750 0.750 0.750
0.500 0.500 0.500
```



[10]
The following is a GGA-PBEsol calculation of a geometry-optimized HRu3Pt structure, from the Alexandria database.

Calculated values
Magnetization = 0.00 μB per atom
Mass density = 14.59 g/cm3
E_tot = -40.43 eV for the cell shown
Calculated volume = 11.36 A^3/atom

```
HRu3Pt
1.0
3.844 0.000 0.000
0.000 3.844 0.000
0.000 0.000 3.844
H Ru Pt
1 3 1
Direct
0.000 0.000 0.000
0.000 0.000 0.500
0.000 0.500 0.000
0.500 0.000 0.000
0.500 0.500 0.500
```



[11]
The following is a GGA-PBEsol calculation of a geometry-optimized Sc2ZnCr structure, from the Alexandria database.

Calculated values
Magnetization = 0.80 μB per atom
Mass density = 4.85 g/cm3
ΔH_f (0 K) = 0.028 eV/atom
E_tot = -24.92 eV for the cell shown
Calculated volume = 17.74 A^3/atom

```
Sc2ZnCr
1.0
4.655 0.000 0.000
0.000 4.655 0.000
0.000 0.000 3.274
Sc Zn Cr
2 1 1
Direct
0.000 0.500 0.000
0.500 0.000 0.000
0.000 0.000 0.500
0.500 0.500 0.500
```



[12]
The following is a GGA-PBEsol calculation of a geometry-optimized MgTl2AsAu structure, from the Alexandria database.

Calculated values
Magnetization = 0.00 μB per atom
Mass density = 8.26 g/cm3
ΔH_f (0 K) = 0.300 eV/atom
E_tot = -14.51 eV for the cell shown
Calculated volume = 28.34 A^3/atom

```
MgTl2AsAu
1.0
5.282 0.000 0.000
0.000 5.282 0.000
0.000 0.000 5.078
Mg Tl As Au
1 2 1 1
Direct
0.000 0.000 0.000
0.000 0.500 0.500
0.500 0.000 0.500
0.500 0.500 0.000
0.000 0.000 0.500
```



E_tot of number 12 (MgTl2AsAu)?
-14.51 eV for the cell shown



The lowest E_tot belongs to which entry?
La3InNiS7



The highest E_tot belongs to which entry?
Li3CdGe



What did the eleventh record say?
The following is a GGA-PBEsol calculation of a geometry-optimized Sc2ZnCr structure, from the Alexandria database.

Calculated values
Magnetization = 0.80 μB per atom
Mass density = 4.85 g/cm3
ΔH_f (0 K) = 0.028 eV/atom
E_tot = -24.92 eV for the cell shown
Calculated volume = 17.74 A^3/atom

```
Sc2ZnCr
1.0
4.655 0.000 0.000
0.000 4.655 0.000
0.000 0.000 3.274
Sc Zn Cr
2 1 1
Direct
0.000 0.500 0.000
0.500 0.000 0.000
0.000 0.000 0.500
0.500 0.500 0.500
```